# 1
Entry from the Alexandria database: a geometry-optimized Ba3YSe structure (GGA-PBE).

Summary:
The raw formation energy comes out at 179 kJ/mol of formula units. As for the space-group type: Pm-3m. The value obtained for the magnetic moment is 0.0 μB per formula unit. Its relative energy among the computed polymorphs is 0.822 eV/atom.

Unit cell a=6.2337 b=6.2337 c=6.2337 alpha=90.00 beta=90.00 gamma=90.00
Last column: nearest neighbours and their distance in Å.
Element x y z (fractional)
Ba  0.0000  0.0000  0.5000  2 Y 3.12
Ba  0.0000  0.5000  0.0000  2 Y 3.12
Ba  0.5000  0.0000  0.0000  2 Y 3.12
Y  0.0000  0.0000  0.0000  6 Ba 3.12
Se  0.5000  0.5000  0.5000  12 Ba 4.41

---

# 2
Entry from the Alexandria database: a geometry-optimized BaY2Se structure (GGA-PBE).

Summary:
The raw formation energy comes out at -178 kJ/mol of formula units. As for the space-group type: Imm2. The value obtained for the magnetic moment is 0.0 μB per formula unit.

Unit cell a=6.9125 b=6.9125 c=6.9125 alpha=147.77 beta=131.43 gamma=59.49
Last column: nearest neighbours and their distance in Å.
Element x y z (fractional)
Ba  0.0000  0.0000  0.0000  2 Se 3.33, 6 Y 3.62-3.66
Y  0.4023  0.4023  0.0000  2 Se 2.85
Y  0.6925  0.1925  0.5000  4 Se 3.45, 2 Ba 3.66, 4 Y 3.80-3.84
Se  0.2267  0.7267  0.5000  2 Y 2.85

---

# 3
Entry from the Alexandria database: a geometry-optimized Ba2YSe structure (GGA-PBE).

Summary:
The raw formation energy comes out at -263 kJ/mol of formula units. As for the space-group type: Cm. The value obtained for the magnetic moment is 0.4 μB per formula unit.

Unit cell a=6.8892 b=6.8892 c=7.0097 alpha=115.84 beta=115.84 gamma=33.83
Last column: nearest neighbours and their distance in Å.
Element x y z (fractional)
Ba  0.0000  0.0000  0.0000  3 Se 3.56-3.72, 1 Ba 3.98
Ba  0.1753  0.1753  0.6647  2 Se 3.30
Y  0.3713  0.3713  0.3762  2 Se 2.84
Se  0.7391  0.7391  0.0787  2 Y 2.84

---

# 4
Entry from the Alexandria database: a geometry-optimized Ba4YSe structure (GGA-PBE).

Summary:
The raw formation energy comes out at 178 kJ/mol of formula units. As for the space-group type: F-43m. The value obtained for the magnetic moment is 2.7 μB per formula unit.

Unit cell a=7.3635 b=7.3635 c=7.3635 alpha=60.00 beta=60.00 gamma=60.00
Last column: nearest neighbours and their distance in Å.
Element x y z (fractional)
Ba  0.1247  0.1247  0.1247  6 Ba 3.67-3.69
Ba  0.1247  0.1247  0.6260  6 Ba 3.67-3.69
Ba  0.1247  0.6260  0.1247  6 Ba 3.67-3.69
Ba  0.6260  0.1247  0.1247  6 Ba 3.67-3.69
Y  0.5000  0.5000  0.5000  12 Ba 4.32, 4 Se 4.51
Se  0.7500  0.7500  0.7500  12 Ba 4.32, 4 Y 4.51

---

# 5
Entry from the Alexandria database: a geometry-optimized BaY2Se structure (GGA-PBE).

Summary:
The raw formation energy comes out at -112 kJ/mol of formula units. As for the space-group type: I4/mmm. The value obtained for the magnetic moment is 0.0 μB per formula unit.

Unit cell a=6.7366 b=6.7366 c=6.7366 alpha=138.91 beta=138.91 gamma=59.51
Last column: nearest neighbours and their distance in Å.
Element x y z (fractional)
Ba  0.0000  0.0000  0.0000  4 Se 3.34
Y  0.2500  0.7500  0.5000  4 Y 3.34
Y  0.7500  0.2500  0.5000  4 Y 3.34
Se  0.5000  0.5000  0.0000  4 Ba 3.34

---

# 6
Entry from the Alexandria database: a geometry-optimized BaY2Se structure (GGA-PBE).

Summary:
The raw formation energy comes out at -27 kJ/mol of formula units. As for the space-group type: F-43m. The value obtained for the magnetic moment is 1.3 μB per formula unit.

Unit cell a=5.6815 b=5.6815 c=5.6815 alpha=60.00 beta=60.00 gamma=60.00
Last column: nearest neighbours and their distance in Å.
Element x y z (fractional)
Ba  0.0000  0.0000  0.0000  4 Y 3.48, 4 Se 3.48
Y  0.5000  0.5000  0.5000  4 Y 3.48, 4 Se 3.48
Y  0.7500  0.7500  0.7500  4 Ba 3.48, 4 Y 3.48
Se  0.2500  0.2500  0.2500  4 Ba 3.48, 4 Y 3.48

---

Number 1: density of states at the Fermi level 4.51 states/eV per cell. Number 2: density of states at the Fermi level 4.70 states/eV per cell. Number 3: density of states at the Fermi level 5.74 states/eV per cell. Number 4: density of states at the Fermi level 9.59 states/eV per cell. Number 5: density of states at the Fermi level 3.86 states/eV per cell. Number 6: density of states at the Fermi level 5.42 states/eV per cell.